Computed, not measured: Ac4InSn after structural relaxation at the PBE-GGA level of DFT.

- Energy relative to the lowest polymorph listed for this composition: 0.000 eV per atom
- Energy of formation from the pure elements: -0.344 eV per atom

Lattice parameters (Å, degrees): 8.212 8.212 7.018 90.00 90.00 90.00
Sites, in units of the cell vectors:
Ac 0.163 0.334 0.000
Ac 0.163 0.666 0.500
Ac 0.334 0.163 0.500
Ac 0.334 0.837 0.000
Ac 0.666 0.163 0.000
Ac 0.666 0.837 0.500
Ac 0.837 0.334 0.500
Ac 0.837 0.666 0.000
In 0.500 0.500 0.250
In 0.500 0.500 0.750
Sn 0.000 0.000 0.250
Sn 0.000 0.000 0.750



Computed, not measured: LiSbF after structural relaxation at the PBE-GGA level of DFT.

- Energy relative to the lowest polymorph listed for this composition: 0.169 eV per atom
- Uncorrected formation energy: -1.656 eV/atom

Lattice parameters (Å, degrees): 3.143 3.143 7.727 90.00 90.00 120.00
Sites, in units of the cell vectors:
Li 0.000 0.000 0.000
Sb 0.333 0.667 0.500
F 0.667 0.333 0.000



Computed, not measured: Be3CrNi after structural relaxation at the PBE-GGA level of DFT.

- Energy relative to the lowest polymorph listed for this composition: 0.740 eV per atom
- Energy of formation from the pure elements: 1.370 eV per atom

Lattice parameters (Å, degrees): 3.958 3.958 3.958 90.00 90.00 90.00
Sites, in units of the cell vectors:
Be 0.000 0.000 0.500
Be 0.000 0.500 0.000
Be 0.500 0.000 0.000
Cr 0.000 0.000 0.000
Ni 0.500 0.500 0.500



Computed, not measured: Dy6Zn2Ga after structural relaxation at the PBE-GGA level of DFT.

- Energy of formation from the pure elements: -0.261 eV per atom

Lattice parameters (Å, degrees): 8.496 8.496 8.496 110.53 109.20 108.69
Sites, in units of the cell vectors:
Dy 0.043 0.220 0.823
Dy 0.248 0.301 0.549
Dy 0.248 0.699 0.947
Dy 0.263 0.586 0.323
Dy 0.263 0.940 0.677
Dy 0.397 0.220 0.177
Dy 0.603 0.780 0.823
Dy 0.737 0.060 0.323
Dy 0.737 0.414 0.677
Dy 0.752 0.301 0.053
Dy 0.752 0.699 0.451
Dy 0.957 0.780 0.177
Zn 0.000 0.136 0.136
Zn 0.000 0.864 0.864
Zn 0.373 0.000 0.373
Zn 0.627 0.000 0.627
Ga 0.000 0.500 0.500
Ga 0.500 0.500 0.000



Computed, not measured: BaPdPt2 after structural relaxation at the PBE-GGA level of DFT.

- Energy of formation from the pure elements: -0.339 eV per atom

Lattice parameters (Å, degrees): 9.808 9.808 9.808 151.10 151.10 41.33
Sites, in units of the cell vectors:
Ba 0.000 0.000 0.000
Ba 0.750 0.250 0.500
Pd 0.250 0.750 0.500
Pd 0.500 0.500 0.000
Pt 0.316 0.625 0.191
Pt 0.375 0.566 0.691
Pt 0.434 0.125 0.809
Pt 0.875 0.684 0.309



Computed, not measured: Ac3CuSn3 after structural relaxation at the PBE-GGA level of DFT.

- Energy of formation from the pure elements: -0.612 eV per atom

Lattice parameters (Å, degrees): 6.576 6.576 15.998 108.45 108.45 42.97
Sites, in units of the cell vectors:
Ac 0.032 0.032 0.388
Ac 0.098 0.098 0.919
Ac 0.247 0.247 0.233
Ac 0.753 0.753 0.767
Ac 0.902 0.902 0.081
Ac 0.968 0.968 0.612
Cu 0.267 0.267 0.605
Cu 0.733 0.733 0.395
Sn 0.344 0.344 0.457
Sn 0.378 0.378 0.923
Sn 0.460 0.460 0.760
Sn 0.540 0.540 0.240
Sn 0.622 0.622 0.077
Sn 0.656 0.656 0.543



Computed, not measured: Nd14ErCd after structural relaxation at the PBE-GGA level of DFT.

- Energy of formation from the pure elements: -0.014 eV per atom

Lattice parameters (Å, degrees): 10.336 7.241 7.241 90.00 90.00 90.00
Sites, in units of the cell vectors:
Nd 0.000 0.000 0.000
Nd 0.000 0.000 0.500
Nd 0.000 0.500 0.000
Nd 0.000 0.500 0.500
Nd 0.255 0.249 0.249
Nd 0.255 0.249 0.751
Nd 0.255 0.751 0.249
Nd 0.255 0.751 0.751
Nd 0.500 0.000 0.501
Nd 0.500 0.501 0.000
Nd 0.745 0.249 0.249
Nd 0.745 0.249 0.751
Nd 0.745 0.751 0.249
Nd 0.745 0.751 0.751
Er 0.500 0.500 0.500
Cd 0.500 0.999 0.999



Computed, not measured: La2TbEr4 after structural relaxation at the PBE-GGA level of DFT.

- Energy relative to the lowest polymorph listed for this composition: 0.217 eV per atom
- Energy of formation from the pure elements: 0.256 eV per atom

Lattice parameters (Å, degrees): 9.034 9.034 6.697 111.70 111.70 84.30
Sites, in units of the cell vectors:
La 0.000 0.000 0.000
La 0.000 0.000 0.500
La 0.000 0.500 0.000
La 0.500 0.000 0.500
Tb 0.478 0.522 0.250
Tb 0.522 0.478 0.750
Er 0.136 0.355 0.495
Er 0.262 0.737 0.524
Er 0.263 0.738 0.976
Er 0.355 0.136 0.995
Er 0.645 0.864 0.005
Er 0.737 0.262 0.024
Er 0.738 0.263 0.476
Er 0.864 0.645 0.505